# GaCoNiAu (PBE, optimized geometry)
# - ΔH_f (0 K): -0.033 eV/atom
# - Calculated density: 11.884 Mg/m³
# - Calculated total energy: -4.83 eV per atom
# - Crystal system: cubic
data_GaCoNiAu
_cell_length_a 5.989
_cell_length_b 5.989
_cell_length_c 5.989
_cell_angle_alpha 90.00
_cell_angle_beta 90.00
_cell_angle_gamma 90.00
_symmetry_space_group_name_H-M 'F -4 3 m'
_symmetry_Int_Tables_number 216
_symmetry_space_group_name_Hall 'F -4 2 3'
loop_
_atom_site_label
_atom_site_type_symbol
_atom_site_fract_x
_atom_site_fract_y
_atom_site_fract_z
_atom_site_occupancy
Ga1 Ga 0.000 0.000 0.000 1
Co1 Co 0.250 0.250 0.250 1
Ni1 Ni 0.250 0.250 0.750 1
Au1 Au 0.000 0.000 0.500 1